Model 1:
Material: RbSnBr5
Method: DFT, PBE
State: optimized geometry

Cell: 9.656 9.656 9.561 Å, 119.50 119.50 83.81°
Fractional positions:
Rb 0.000 0.500 0.000
Rb 0.500 0.000 0.500
Sn 0.150 0.850 0.750
Sn 0.850 0.150 0.250
Br 0.154 0.232 0.442
Br 0.232 0.154 0.942
Br 0.260 0.739 0.531
Br 0.261 0.740 0.969
Br 0.402 0.598 0.250
Br 0.598 0.402 0.750
Br 0.739 0.260 0.031
Br 0.740 0.261 0.469
Br 0.768 0.846 0.058
Br 0.846 0.768 0.558

Calculated values
As for the density: 3017 kg/m³. For the total moment, the calculation gives 0.00 μB per cell. For the volume, the calculation gives 47.464 Å³/atom.



Model 2:
Material: RbSnBr5
Method: DFT, PBE
State: optimized geometry

Cell: 8.346 8.346 10.875 Å, 109.37 109.37 56.80°
Fractional positions:
Rb 0.028 0.972 0.750
Rb 0.972 0.028 0.250
Sn 0.500 0.500 0.000
Sn 0.500 0.500 0.500
Br 0.136 0.595 0.464
Br 0.137 0.591 0.898
Br 0.405 0.864 0.036
Br 0.407 0.593 0.250
Br 0.409 0.863 0.602
Br 0.591 0.137 0.398
Br 0.593 0.407 0.750
Br 0.595 0.136 0.964
Br 0.863 0.409 0.102
Br 0.864 0.405 0.536

Calculated values
As for the density: 3415 kg/m³. For the total moment, the calculation gives 0.00 μB per cell. For the volume, the calculation gives 41.939 Å³/atom.



Structures ranked by computed energy, the most stable listed first: model 2, model 1.